Here is a relaxed structure of Dy2Sc2CCl5 from OQMD. Energies are from PBE.

```
data_Dy2Sc2CCl5
_chemical_formula_sum 'Dy4 Sc4 C2 Cl10'
_cell_length_a 16.671
_cell_length_b 3.605
_cell_length_c 7.439
_cell_angle_alpha 90.00
_cell_angle_beta 103.92
_cell_angle_gamma 90.00
_symmetry_space_group_name_H-M 'C 1 2/m 1'
_symmetry_Int_Tables_number 12
loop_
_symmetry_equiv_pos_as_xyz
'x,y,z'
'-x,-y,-z'
'-x,y,-z'
'x,-y,z'
'x+1/2,y+1/2,z'
'-x+1/2,-y+1/2,-z'
'-x+1/2,y+1/2,-z'
'x+1/2,-y+1/2,z'
loop_
_atom_site_label
_atom_site_type_symbol
_atom_site_fract_x
_atom_site_fract_y
_atom_site_fract_z
_atom_site_occupancy
Dy1 Dy 0.145 0.000 0.082 1
Sc1 Sc 0.000 0.500 0.203 1
C1 C 0.000 0.000 0.000 1
Cl1 Cl 0.000 0.000 0.500 1
Cl2 Cl 0.160 0.500 0.353 1
Cl3 Cl 0.167 0.500 0.823 1
```

Summary:
E above lowest polymorph: 30 meV/atom
raw total energy: -114.04 eV for the cell shown